Record 1
SmGa3Rh3 | PBE | optimized geometry

a = 6.698 Å, b = 6.698 Å, c = 6.698 Å
α = 90.00°, β = 90.00°, γ = 90.00°
Element x y z (fractional)
Sm1 0.000 0.000 0.000
Sm2 0.500 0.500 0.500
Ga1 0.000 0.250 0.500
Ga2 0.000 0.750 0.500
Ga3 0.250 0.500 0.000
Ga4 0.500 0.000 0.250
Ga5 0.500 0.000 0.750
Ga6 0.750 0.500 0.000
Rh1 0.000 0.500 0.250
Rh2 0.000 0.500 0.750
Rh3 0.250 0.000 0.500
Rh4 0.500 0.250 0.000
Rh5 0.500 0.750 0.000
Rh6 0.750 0.000 0.500

Values from the calculation:
As for the calculated volume: 21.5 A^3/atom. Its energy above the lowest structure with this stoichiometry is 0.401 eV/atom. As for the density of states at the Fermi level: 8.53 states/eV/cell. Its space group is Pm-3n.

***

Record 2
Sm2GaRh | PBE | optimized geometry

a = 8.173 Å, b = 8.173 Å, c = 8.173 Å
α = 27.62°, β = 27.62°, γ = 27.62°
Element x y z (fractional)
Sm1 0.239 0.239 0.239
Sm2 0.761 0.761 0.761
Ga1 0.000 0.000 0.000
Rh1 0.500 0.500 0.500

Values from the calculation:
The value obtained for the energy is -5.4559 eV/atom. As for the calculated volume: 25.9 A^3/atom. As for the density of states at the Fermi level: 1.69 states/eV/cell. Its space group is R-3m.